# 1
4
Lattice="5.089 0.002 0.000 -0.044 5.089 0.000 -2.523 -2.545 3.613" Properties=species:S:1:pos:R:3 comment="KSi2Br GGA-PBE optimized geometry" polymorph_energy_mev_per_atom=770 formation_energy_uncorrected_kcal_per_mol_atoms=8.6 pbc="T T T"
K 2.545 0.001 1.807
Si -0.022 2.544 1.807
Si 0.000 0.000 0.000
Br 2.523 2.545 0.000

---

# 2
6
Lattice="18.886 0.000 0.047 5.330 1.685 -2.211 -5.330 1.685 2.211" Properties=species:S:1:pos:R:3 comment="LiScPb GGA-PBE optimized geometry" delta_e_f_ev_per_atom=-0.20 pbc="T T T"
Sc 19.830 1.685 -1.040
Sc 11.942 1.685 -0.460
Pb 5.731 1.685 -0.765
Pb 14.908 1.685 -1.347
Li 8.632 1.685 -1.337
Li 17.178 1.685 0.239

---

# 3
8
Lattice="7.467 0.000 0.000 0.000 7.467 0.000 3.734 3.734 3.094" Properties=species:S:1:pos:R:3 comment="Cr2InSb GGA-PBE optimized geometry" polymorph_energy_mev_per_atom=413 formation_energy_uncorrected_kcal_per_mol_atoms=14.8 pbc="T T T"
In 3.734 3.734 0.000
In 3.734 7.467 1.547
Cr 1.768 5.600 0.773
Cr 5.699 1.867 0.773
Cr 5.600 5.502 2.320
Cr 9.334 9.433 2.320
Sb 0.000 0.000 0.000
Sb 7.467 3.734 1.547

---

# 4
5
Lattice="4.514 0.000 0.000 0.000 4.514 0.000 0.000 0.000 4.514" Properties=species:S:1:pos:R:3 comment="P3IrOs GGA-PBE optimized geometry" delta_e_f_ev_per_atom=1.12 polymorph_energy_mev_per_atom=0 pbc="T T T"
P 0.000 2.257 0.000
P 0.000 0.000 2.257
P 2.257 0.000 0.000
Ir 2.257 2.257 2.257
Os 0.000 0.000 0.000